Record 1
Mg2MnSe, relaxed, DFT PBE; space-group type = P4/mmm, No. 123; formation energy without anion corrections = -0.16 eV per atom
1.0
3.527 0.000 0.000
0.000 3.526 0.000
0.000 0.000 5.983
Mg Mn Se
2 1 1
Direct
0.000 0.000 0.005
0.000 0.000 0.495
0.500 0.500 0.250
0.500 0.500 0.750


Record 2
MnIn2Te, relaxed, DFT PBE; space-group type = R-3m, No. 166; formation energy without anion corrections = 0.30 eV per atom
1.0
-5.192 -7.432 -3.131
-2.133 -8.911 -2.835
-4.166 -8.638 -0.110
In Mn Te
2 1 1
Direct
0.989 0.989 0.989
0.511 0.511 0.511
0.250 0.250 0.250
0.750 0.750 0.750


Record 3
SrTi3Co, relaxed, DFT PBE; formation energy = 0.33 eV/atom; space-group type = Pm-3m, No. 221; distance to the lowest polymorph of the same formula = 0 meV/atom
1.0
-0.702 -3.698 -2.849
-1.093 -2.671 3.736
-4.539 1.215 -0.459
Sr Co Ti
1 1 3
Direct
0.500 0.500 0.500
0.000 0.000 0.000
0.000 0.500 0.000
0.000 0.000 0.500
0.500 0.000 0.000


Record 4
AlGeAu4, relaxed, DFT PBE; formation energy = -0.09 eV/atom; space-group type = C2/c, No. 15
1.0
-4.268 3.624 0.355
-1.305 -2.707 5.728
4.471 4.554 1.054
Al Ge Au
2 2 8
Direct
0.250 0.995 0.005
0.750 0.005 0.995
0.750 0.556 0.444
0.250 0.444 0.556
0.920 0.625 0.847
0.015 0.861 0.294
0.580 0.153 0.375
0.485 0.706 0.139
0.515 0.294 0.861
0.420 0.847 0.625
0.985 0.139 0.706
0.080 0.375 0.153


Record 5
ZnFe2Cl, relaxed, DFT PBE; space-group type = Pm, No. 6; formation energy without anion corrections = 0.07 eV per atom; distance to the lowest polymorph of the same formula = 0 meV/atom
1.0
2.971 0.000 0.000
0.000 3.105 -0.064
0.000 0.158 6.868
Zn Fe Cl
1 2 1
Direct
0.000 0.498 0.440
0.000 0.501 0.051
0.500 0.999 0.230
0.500 0.503 0.779


Record 6
DyTl2Si2Au7, relaxed, DFT PBE; space-group type = C2/m, No. 12; formation energy without anion corrections = -0.23 eV per atom
1.0
4.593 -0.170 -0.232
-0.165 4.594 -0.232
1.423 1.421 12.806
Dy Tl Si Au
1 2 2 7
Direct
0.000 0.000 0.000
0.898 0.898 0.377
0.102 0.102 0.623
0.617 0.617 0.776
0.383 0.383 0.224
0.500 0.500 0.000
0.410 0.410 0.408
0.590 0.590 0.592
0.916 0.478 0.156
0.478 0.916 0.156
0.522 0.084 0.844
0.084 0.522 0.844


The total magnetization results, record by record, are as follows: 0.923, 0.798, 0.000, 0.000, 1.254, 0.000 μB per atom.